(1)
{
  "formula": "ReTe2PI",
  "functional": "PBEsol",
  "state": "optimized geometry",
  "raw_formation_energy_ev_per_atom": 1.53,
  "space_group": "P4/mmm",
  "energy_ev_per_cell": -20.27,
  "n_ef_per_ev_cell": 3.748,
  "lattice": [[5.1519, 0.0000, 0.0000], [0.0000, 5.1519, 0.0000], [0.0000, 0.0000, 5.2563]],
  "species": ["Re", "Te", "Te", "P", "I"],
  "fractional_positions": [[0.0000, 0.0000, 0.0000], [0.0000, 0.5000, 0.5000], [0.5000, 0.0000, 0.5000], [0.5000, 0.5000, 0.5000], [0.5000, 0.5000, 0.0000]]
}


(2)
{
  "formula": "RbH3Se",
  "functional": "PBEsol",
  "state": "optimized geometry",
  "space_group": "Pm-3m",
  "energy_ev_per_cell": -8.15,
  "e_above_lowest_polymorph_ev_per_fu": 5.90,
  "n_ef_per_ev_cell": 1.780,
  "lattice": [[4.8819, 0.0000, 0.0000], [0.0000, 4.8819, 0.0000], [0.0000, 0.0000, 4.8819]],
  "species": ["Rb", "H", "H", "H", "Se"],
  "fractional_positions": [[0.0000, 0.0000, 0.0000], [0.0000, 0.0000, 0.5000], [0.0000, 0.5000, 0.0000], [0.5000, 0.0000, 0.0000], [0.5000, 0.5000, 0.5000]]
}


(3)
{
  "formula": "LaTe",
  "functional": "PBEsol",
  "state": "optimized geometry",
  "raw_formation_energy_ev_per_atom": -1.22,
  "space_group": "Imma",
  "energy_ev_per_cell": -22.64,
  "n_ef_per_ev_cell": 3.951,
  "lattice": [[-2.0773, 2.4431, 6.1702], [2.0773, -2.4431, 6.1702], [2.0773, 2.4431, -6.1702]],
  "species": ["La", "La", "Te", "Te"],
  "fractional_positions": [[0.3625, 0.1125, 0.2500], [0.6375, 0.8875, 0.7500], [0.1335, 0.3835, 0.7500], [0.8665, 0.6165, 0.2500]]
}


(4)
{
  "formula": "La2CoSn2",
  "functional": "PBEsol",
  "state": "optimized geometry",
  "space_group": "I4/mmm",
  "e_form_ev_per_atom": 0.0603,
  "energy_ev_per_cell": -26.65,
  "n_ef_per_ev_cell": 5.148,
  "lattice": [[-1.9764, 1.9764, 8.6740], [1.9764, -1.9764, 8.6740], [1.9764, 1.9764, -8.6740]],
  "species": ["La", "La", "Co", "Sn", "Sn"],
  "fractional_positions": [[0.0893, 0.0893, 0.0000], [0.9107, 0.9107, 0.0000], [0.5000, 0.5000, 0.0000], [0.2500, 0.7500, 0.5000], [0.7500, 0.2500, 0.5000]]
}


(5)
{
  "formula": "K5P2Au",
  "functional": "PBEsol",
  "state": "optimized geometry",
  "space_group": "P6_3/mmc",
  "e_form_ev_per_atom": -0.3648,
  "energy_ev_per_cell": -48.18,
  "lattice": [[5.5918, 0.0000, 0.0000], [-2.7959, 4.8426, 0.0000], [0.0000, 0.0000, 18.5337]],
  "species": ["K", "K", "K", "K", "K", "K", "K", "K", "K", "K", "P", "P", "P", "P", "Au", "Au"],
  "fractional_positions": [[0.0000, 0.0000, 0.1447], [0.0000, 0.0000, 0.3553], [0.0000, 0.0000, 0.6447], [0.0000, 0.0000, 0.8553], [0.3333, 0.6667, 0.0488], [0.3333, 0.6667, 0.2500], [0.3333, 0.6667, 0.4512], [0.6667, 0.3333, 0.5488], [0.6667, 0.3333, 0.7500], [0.6667, 0.3333, 0.9512], [0.3333, 0.6667, 0.6221], [0.3333, 0.6667, 0.8779], [0.6667, 0.3333, 0.1221], [0.6667, 0.3333, 0.3779], [0.3333, 0.6667, 0.7500], [0.6667, 0.3333, 0.2500]]
}


(6)
{
  "formula": "CoCu3O",
  "functional": "PBEsol",
  "state": "optimized geometry",
  "raw_formation_energy_ev_per_atom": 0.34,
  "space_group": "Pm-3m",
  "energy_ev_per_cell": -24.31,
  "n_ef_per_ev_cell": 5.048,
  "lattice": [[3.8449, 0.0000, 0.0000], [0.0000, 3.8449, 0.0000], [0.0000, 0.0000, 3.8449]],
  "species": ["Co", "Cu", "Cu", "Cu", "O"],
  "fractional_positions": [[0.0000, 0.0000, 0.0000], [0.0000, 0.5000, 0.5000], [0.5000, 0.0000, 0.5000], [0.5000, 0.5000, 0.0000], [0.5000, 0.5000, 0.5000]]
}